Record 1
Compound: CuS2BrO
Source: the Alexandria database
Functional: PBE-GGA
Structure: relaxed

Computed properties:
**ΔE_f (raw)**: 580.6 meV/atom
**SG**: No. 123

Lattice parameters (Å, degrees): 3.8098 3.8098 7.2136 90.00 90.00 90.00
With the nearest neighbours (Å) after each atom.
Positions (direct):
1 Cu 0.0000 0.0000 0.0000  4 Br 2.69
2 S 0.0000 0.5000 0.5000  2 O 1.90
3 S 0.5000 0.0000 0.5000  2 O 1.90
4 Br 0.5000 0.5000 0.0000  4 Cu 2.69
5 O 0.5000 0.5000 0.5000  4 S 1.90

Record 2
Compound: CuSBrO4
Source: the Alexandria database
Functional: PBE-GGA
Structure: relaxed

Computed properties:
**ΔE_f (raw)**: -796.0 meV/atom
**SG**: No. 12

Lattice parameters (Å, degrees): 7.7906 7.7906 5.3701 96.78 96.78 46.34
With the nearest neighbours (Å) after each atom.
Positions (direct):
1 Cu 0.1858 0.1858 0.2695  3 O 1.93-1.95
2 Cu 0.8142 0.8142 0.7305  3 O 1.93-1.95
3 S 0.3512 0.3512 0.6754  4 O 1.44-1.52
4 S 0.6488 0.6488 0.3246  4 O 1.44-1.52
5 Br 0.0102 0.0102 0.2526  1 Cu 2.50, 2 Br 2.69-2.71
6 Br 0.9898 0.9898 0.7474  1 Cu 2.50, 2 Br 2.69-2.71
7 O 0.1147 0.4973 0.7929  1 S 1.52
8 O 0.3200 0.3200 0.3953  1 S 1.51
9 O 0.4523 0.4523 0.7192  1 S 1.44
10 O 0.4973 0.1147 0.7929  1 S 1.52
11 O 0.5027 0.8853 0.2071  1 S 1.52
12 O 0.5477 0.5477 0.2808  1 S 1.44
13 O 0.6800 0.6800 0.6047  1 S 1.51
14 O 0.8853 0.5027 0.2071  1 S 1.52

Record 3
Compound: CuSbBrO2
Source: the Alexandria database
Functional: PBE-GGA
Structure: relaxed

Computed properties:
**ΔE_f (raw)**: -784.0 meV/atom
**SG**: No. 11

Lattice parameters (Å, degrees): 7.0911 4.0053 7.4359 90.00 117.15 90.00
With the nearest neighbours (Å) after each atom.
Positions (direct):
1 Cu 0.0815 0.2500 0.3905  4 O 2.04-2.25
2 Cu 0.9185 0.7500 0.6095  4 O 2.04-2.25
3 Sb 0.4472 0.7500 0.6687  4 O 2.05-2.20
4 Sb 0.5528 0.2500 0.3313  4 O 2.05-2.20
5 Br 0.2146 0.7500 0.9456  1 Cu 2.42
6 Br 0.7854 0.2500 0.0544  1 Cu 2.42
7 O 0.1337 0.7500 0.4623  1 Sb 2.05, 3 Cu 2.06-2.25
8 O 0.4054 0.2500 0.5329  1 Cu 2.04, 3 Sb 2.18-2.20
9 O 0.5946 0.7500 0.4671  1 Cu 2.04, 3 Sb 2.18-2.20
10 O 0.8663 0.2500 0.5377  1 Sb 2.05, 3 Cu 2.06-2.25

Record 4
Compound: CuSeBr2O
Source: the Alexandria database
Functional: PBE-GGA
Structure: relaxed

Computed properties:
**Offset from the most stable computed form**: 0 meV/atom
**ΔE_f (raw)**: 682.6 meV/atom
**SG**: No. 123

Lattice parameters (Å, degrees): 4.8415 4.8415 4.2574 90.00 90.00 90.00
With the nearest neighbours (Å) after each atom.
Positions (direct):
1 Cu 0.0000 0.0000 0.0000  8 Br 3.22, 4 Se 3.42
2 Se 0.5000 0.5000 0.0000  2 O 2.13
3 Br 0.0000 0.5000 0.5000  2 O 2.42
4 Br 0.5000 0.0000 0.5000  2 O 2.42
5 O 0.5000 0.5000 0.5000  2 Se 2.13